## PrNi3Ge3 (PBE)

Data for a geometry-optimized PrNi3Ge3 structure.

```
data_PrNi3Ge3
_chemical_formula_sum 'Pr2 Ni6 Ge6'
_cell_length_a 6.435
_cell_length_b 6.435
_cell_length_c 6.435
_cell_angle_alpha 90.00
_cell_angle_beta 90.00
_cell_angle_gamma 90.00
_symmetry_space_group_name_H-M 'P m -3 n'
_symmetry_Int_Tables_number 223
_symmetry_space_group_name_Hall '-P 4n 2 3'
loop_
_atom_site_label
_atom_site_type_symbol
_atom_site_fract_x
_atom_site_fract_y
_atom_site_fract_z
Pr1 Pr 0.000 0.000 0.000
Ni1 Ni 0.000 0.250 0.500
Ge1 Ge 0.000 0.500 0.250
```

Summary:
**Energy of formation**: -0.24 eV/atom
**Theoretical density**: 6.7 g/cm3
**E above lowest polymorph**: 0.062 eV per atom
**M_tot**: 0.00 μB per atom
**Calculated volume**: 19.03 Å³/atom